[1]
DFT (PBE) results for crystalline Ti2FeRu4 at its relaxed geometry.

abc: 4.341 4.341 6.962
angles: 71.84 71.84 90.00
Fractional positions:
Ti 0.635 0.635 0.730
Ti 0.365 0.365 0.270
Ru 0.500 0.000 0.000
Ru 0.000 0.500 0.000
Ru 0.193 0.193 0.614
Ru 0.807 0.807 0.386
Fe 0.000 0.000 0.000

- SG: I4/mmm (139)

[2]
DFT (PBE) results for crystalline Tl3FeRu at its relaxed geometry.

abc: 5.258 5.258 5.258
angles: 90.00 90.00 90.00
Last column: magnetic moment on the atom in μB.
Fractional positions:
Tl 0.000 0.000 0.500  -0.03
Tl 0.000 0.500 0.000  -0.01
Tl 0.500 0.000 0.000  0.01
Fe 0.500 0.500 0.500  3.31
Ru 0.000 0.000 0.000  0.06

- Energy relative to the lowest polymorph listed for this composition: 0 meV per atom
- SG: Pm-3m (221)

Number 1: energy of formation 0.729 eV/atom. Number 2: energy of formation 0.928 eV/atom.